Record 1
Density functional theory data (PBE) for a relaxed TaCuBr2 crystal.

The calculation puts the relative energy among the computed polymorphs at 1173.0 meV/atom. The value obtained for the energy relative to the elements, uncorrected is 4.1 eV per formula unit.

a b c (Å): 6.847 6.847 6.847
angles (deg): 90.00 90.00 90.00
Space group F-43m (No. 216)
Asymmetric unit:
Ta: 0.000 0.000 0.000 x4
Cu: 0.250 0.250 0.750 x4
Br: 0.000 0.000 0.500 x4
Br: 0.250 0.250 0.250 x4

Record 2
Density functional theory data (PBE) for a relaxed ScTeN2O crystal.

The value obtained for the energy relative to the elements, uncorrected is 5.0 eV per formula unit.

a b c (Å): 3.870 3.870 6.366
angles (deg): 90.00 90.00 90.00
Space group P4/mmm (No. 123)
Asymmetric unit:
Sc: 0.000 0.000 0.000 x1
Te: 0.000 0.000 0.500 x1
N: 0.000 0.500 0.000 x2
O: 0.500 0.500 0.500 x1

Record 3
Density functional theory data (PBE) for a relaxed Tl3BRu crystal.

For the formation energy, the calculation gives 6.104 eV/f.u. The calculation puts the relative energy among the computed polymorphs at 0.0 meV/atom.

a b c (Å): 5.270 5.270 5.270
angles (deg): 90.00 90.00 90.00
Space group Pm-3m (No. 221)
Asymmetric unit:
Tl: 0.000 0.000 0.500 x3
B: 0.500 0.500 0.500 x1
Ru: 0.000 0.000 0.000 x1

Record 4
Density functional theory data (PBE) for a relaxed TlGeCl3 crystal.

The value obtained for the energy relative to the elements, uncorrected is -4.3 eV per formula unit.

a b c (Å): 17.951 4.014 8.799
angles (deg): 90.00 101.21 90.00
Space group C2/m (No. 12)
Asymmetric unit:
Tl: 0.187 0.000 0.240 x4
Ge: 0.081 0.500 0.686 x4
Cl: 0.003 0.000 0.254 x4
Cl: 0.154 0.500 0.935 x4
Cl: 0.181 0.000 0.609 x4

Record 5
Density functional theory data (PBE) for a relaxed ZrTa2SbO crystal.

The value obtained for the energy relative to the elements, uncorrected is -3.5 eV per formula unit.

a b c (Å): 4.301 4.301 4.518
angles (deg): 90.00 90.00 90.00
Space group P4/mmm (No. 123)
Asymmetric unit:
Zr: 0.000 0.000 0.000 x1
Ta: 0.000 0.500 0.500 x2
Sb: 0.500 0.500 0.000 x1
O: 0.000 0.000 0.500 x1

Record 6
Density functional theory data (PBE) for a relaxed ZnTeSe2 crystal.

The calculation puts the relative energy among the computed polymorphs at 329.8 meV/atom. The value obtained for the energy relative to the elements, uncorrected is 0.8 eV per formula unit.

a b c (Å): 3.399 3.399 8.352
angles (deg): 90.00 90.00 90.00
Space group P4/mmm (No. 123)
Asymmetric unit:
Zn: 0.000 0.000 0.000 x1
Te: 0.000 0.000 0.500 x1
Se: 0.500 0.500 0.154 x2

Record 7
Density functional theory data (PBE) for a relaxed Zn6Cu3Pd crystal.

For the formation energy, the calculation gives -0.722 eV/f.u. The calculation puts the relative energy among the computed polymorphs at 99.2 meV/atom.

a b c (Å): 6.524 6.312 8.341
angles (deg): 90.00 123.45 90.00
Space group P2_1/c (No. 14)
Asymmetric unit:
Zn: 0.023 0.135 0.221 x4
Zn: 0.258 0.695 0.668 x4
Zn: 0.373 0.072 0.831 x4
Cu: 0.000 0.000 0.500 x2
Cu: 0.257 0.176 0.059 x4
Pd: 0.500 0.000 0.500 x2

Record 8
Density functional theory data (PBE) for a relaxed CaBiSCl2 crystal.

The calculation puts the relative energy among the computed polymorphs at 0.0 meV/atom. The value obtained for the energy relative to the elements, uncorrected is -4.4 eV per formula unit.

a b c (Å): 5.074 5.074 5.654
angles (deg): 90.00 90.00 90.00
Space group P4/mmm (No. 123)
Asymmetric unit:
Ca: 0.000 0.000 0.000 x1
Bi: 0.500 0.500 0.500 x1
S: 0.000 0.000 0.500 x1
Cl: 0.000 0.500 0.000 x2

Record 9
Density functional theory data (PBE) for a relaxed Li2Zn2Os crystal.

For the formation energy, the calculation gives 1.764 eV/f.u. The calculation puts the relative energy among the computed polymorphs at 219.9 meV/atom.

a b c (Å): 3.416 3.416 12.050
angles (deg): 90.00 90.00 90.00
Space group I4/mmm (No. 139)
Asymmetric unit:
Li: 0.000 0.500 0.250 x4
Zn: 0.000 0.000 0.097 x4
Os: 0.000 0.000 0.500 x2

Record 10
Density functional theory data (PBE) for a relaxed PmCd7Ag5 crystal.

For the formation energy, the calculation gives -1.699 eV/f.u.

a b c (Å): 5.637 9.962 9.845
angles (deg): 90.00 90.00 90.00
Space group Imm2 (No. 44)
Asymmetric unit:
Pm: 0.000 0.000 0.000 x2
Cd: 0.000 0.000 0.348 x2
Cd: 0.000 0.000 0.659 x2
Cd: 0.000 0.296 0.505 x4
Cd: 0.000 0.346 0.010 x4
Cd: 0.000 0.500 0.723 x2
Ag: 0.000 0.500 0.290 x2
Ag: 0.249 0.249 0.757 x8

Record 11
Density functional theory data (PBE) for a relaxed FeNi2Br crystal.

The calculation puts the relative energy among the computed polymorphs at 368.5 meV/atom. The value obtained for the energy relative to the elements, uncorrected is 2.6 eV per formula unit.

a b c (Å): 4.038 4.038 3.373
angles (deg): 90.00 90.00 90.00
Space group P4/mmm (No. 123)
Asymmetric unit:
Fe: 0.000 0.000 0.000 x1
Ni: 0.000 0.500 0.500 x2
Br: 0.500 0.500 0.000 x1

Record 12
Density functional theory data (PBE) for a relaxed Th6Co3Pt2Rh crystal.

For the formation energy, the calculation gives -8.225 eV/f.u.

a b c (Å): 17.780 4.023 8.200
angles (deg): 90.00 104.53 90.00
Space group C2/m (No. 12)
Asymmetric unit:
Th: 0.004 0.000 0.245 x4
Th: 0.161 0.500 0.097 x4
Th: 0.169 0.500 0.572 x4
Co: 0.000 0.500 0.000 x2
Co: 0.168 0.000 0.335 x4
Pt: 0.167 0.000 0.836 x4
Rh: 0.000 0.500 0.500 x2

Record 13
Density functional theory data (PBE) for a relaxed RbSnSe2 crystal.

The value obtained for the energy relative to the elements, uncorrected is -2.8 eV per formula unit.

a b c (Å): 14.974 4.170 4.749
angles (deg): 90.00 108.38 90.00
Space group Cm (No. 8)
Asymmetric unit:
Rb: 0.000 0.000 0.000 x2
Sn: 0.247 0.500 0.248 x2
Se: 0.159 0.500 0.661 x2
Se: 0.368 0.000 0.369 x2

Record 14
Density functional theory data (PBE) for a relaxed Sc2ZnNiBr crystal.

The value obtained for the energy relative to the elements, uncorrected is 0.8 eV per formula unit.

a b c (Å): 4.992 4.992 4.324
angles (deg): 90.00 90.00 90.00
Space group P4/mmm (No. 123)
Asymmetric unit:
Sc: 0.000 0.500 0.000 x2
Zn: 0.000 0.000 0.500 x1
Ni: 0.500 0.500 0.500 x1
Br: 0.500 0.500 0.000 x1

Record 15
Density functional theory data (PBE) for a relaxed BaBSeN2 crystal.

The calculation puts the relative energy among the computed polymorphs at 0.0 meV/atom. The value obtained for the energy relative to the elements, uncorrected is 5.3 eV per formula unit.

a b c (Å): 4.255 4.255 4.393
angles (deg): 90.00 90.00 90.00
Space group P4/mmm (No. 123)
Asymmetric unit:
Ba: 0.000 0.000 0.000 x1
B: 0.500 0.500 0.500 x1
Se: 0.500 0.500 0.000 x1
N: 0.000 0.500 0.500 x2